# Na3AlNi2O6 PBE with a Hubbard U optimized geometry
# SG = C2/m, No. 12
# Crystal system = monoclinic
# Uncorrected energy = -5.13 eV per atom
# Magnetic moment = 2.00 μB per formula unit
data_Na3AlNi2O6
_space_group_name_H-M_alt 'P 1'
_space_group_IT_number 1
_space_group_name_Hall 'P 1'
_cell_length_a 5.0447
_cell_length_b 5.0447
_cell_length_c 5.6585
_cell_angle_alpha 100.27
_cell_angle_beta 100.27
_cell_angle_gamma 116.96
loop_
_atom_site_label
_atom_site_type_symbol
_atom_site_fract_x
_atom_site_fract_y
_atom_site_fract_z
Na1 Na 0.1704 0.8296 0.5000
Na2 Na 0.8296 0.1704 0.5000
Na3 Na 0.5000 0.5000 0.5000
Al1 Al 0.0000 0.0000 0.0000
Ni1 Ni 0.3315 0.6685 0.0000
Ni2 Ni 0.6685 0.3315 0.0000
O1 O 0.9523 0.6245 0.8023
O2 O 0.7293 0.7293 0.1876
O3 O 0.0477 0.3755 0.1977
O4 O 0.6245 0.9523 0.8023
O5 O 0.2707 0.2707 0.8124
O6 O 0.3755 0.0477 0.1977